# 1
Entry from Alexandria: crystalline PmPaGaBi at its relaxed geometry (PBE).

abc: 5.3425 5.3425 5.3425
angles: 60.00 60.00 60.00
Closest atoms and distances in Å follow each position.
Fractional positions:
Pa 0.0000 0.0000 0.0000  4 Bi 3.27, 4 Ga 3.27
Bi 0.7500 0.7500 0.7500  4 Pa 3.27, 4 Pm 3.27
Ga 0.2500 0.2500 0.2500  4 Pa 3.27, 4 Pm 3.27
Pm 0.5000 0.5000 0.5000  4 Ga 3.27, 4 Bi 3.27

Results
Its space-group type is No. 216. The calculation puts the theoretical density at 10.1 g cm⁻³. Its density of states at the Fermi level is 1.815 states/eV per atom. As for the formation energy: -0.193 eV/atom.

***

# 2
Entry from Alexandria: crystalline Ga2BiPb at its relaxed geometry (PBE).

abc: 4.5218 4.5218 6.8809
angles: 70.82 70.82 60.00
Closest atoms and distances in Å follow each position.
Fractional positions:
Ga 0.0834 0.0834 0.7498  3 Pb 3.01, 3 Bi 3.01, 1 Ga 3.19
Ga 0.2507 0.2507 0.2480  3 Bi 3.10, 3 Pb 3.12, 1 Ga 3.19
Bi 0.6713 0.6713 0.9862  6 Ga 3.01-3.10, 1 Pb 3.37
Pb 0.4947 0.4947 0.5159  6 Ga 3.01-3.12

Results
Its space-group type is No. 160. The calculation puts the theoretical density at 8.2 g cm⁻³. Its density of states at the Fermi level is 0.522 states/eV per atom. As for the formation energy: 0.125 eV/atom.

***

# 3
Entry from Alexandria: crystalline Ga2Bi2Pb at its relaxed geometry (PBE).

abc: 9.0078 9.0078 3.4811
angles: 90.00 90.00 90.00
Closest atoms and distances in Å follow each position.
Fractional positions:
Pb 0.0000 0.0000 0.0000  4 Bi 3.40, 2 Pb 3.48
Pb 0.5000 0.5000 0.0000  4 Bi 3.40, 2 Pb 3.48
Bi 0.3443 0.8443 0.0000  6 Ga 3.12-3.19, 2 Pb 3.40, 2 Bi 3.48
Bi 0.8443 0.6557 0.0000  6 Ga 3.12-3.19, 2 Pb 3.40, 2 Bi 3.48
Bi 0.6557 0.1557 0.0000  6 Ga 3.12-3.19, 2 Pb 3.40, 2 Bi 3.48
Bi 0.1557 0.3443 0.0000  6 Ga 3.12-3.19, 2 Pb 3.40, 2 Bi 3.48
Ga 0.1411 0.6411 0.5000  6 Bi 3.12-3.19, 2 Ga 3.48
Ga 0.6411 0.8589 0.5000  6 Bi 3.12-3.19, 2 Ga 3.48
Ga 0.8589 0.3589 0.5000  6 Bi 3.12-3.19, 2 Ga 3.48
Ga 0.3589 0.1411 0.5000  6 Bi 3.12-3.19, 2 Ga 3.48

Results
Its space-group type is No. 127. The calculation puts the theoretical density at 9.0 g cm⁻³. Its density of states at the Fermi level is 0.594 states/eV per atom. As for the formation energy: 0.084 eV/atom.

***

# 4
Entry from Alexandria: crystalline GaBi2Pb2 at its relaxed geometry (PBE).

abc: 7.7095 8.6189 9.7908
angles: 90.00 91.84 90.00
Closest atoms and distances in Å follow each position.
Fractional positions:
Ga 0.3665 0.4176 0.3819  4 Bi 2.96-3.02
Ga 0.6335 0.5824 0.6181  4 Bi 2.96-3.02
Ga 0.8665 0.0824 0.3819  4 Bi 2.96-3.02
Ga 0.1335 0.9176 0.6181  4 Bi 2.96-3.02
Bi 0.7710 0.9312 0.1118  1 Ga 3.02, 4 Pb 3.21-3.32
Bi 0.2710 0.5688 0.1118  1 Ga 3.02, 4 Pb 3.21-3.32
Bi 0.7290 0.4312 0.8882  1 Ga 3.02, 4 Pb 3.21-3.32
Bi 0.2290 0.0688 0.8882  1 Ga 3.02, 4 Pb 3.21-3.32
Bi 0.7553 0.4149 0.3750  3 Ga 2.96-3.00
Bi 0.2553 0.0851 0.3750  3 Ga 2.96-3.00
Bi 0.7447 0.9149 0.6250  3 Ga 2.96-3.00
Bi 0.2447 0.5851 0.6250  3 Ga 2.96-3.00
Pb 0.5086 0.2344 0.1077  6 Bi 3.26-3.56, 1 Ga 3.33
Pb 0.0086 0.2656 0.1077  6 Bi 3.26-3.56, 1 Ga 3.33
Pb 0.9914 0.7344 0.8923  6 Bi 3.26-3.56, 1 Ga 3.33
Pb 0.4914 0.7656 0.8923  6 Bi 3.26-3.56, 1 Ga 3.33
Pb 0.0181 0.7149 0.3322  4 Bi 3.21-3.49, 2 Ga 3.39-3.42
Pb 0.5181 0.7851 0.3322  4 Bi 3.21-3.49, 2 Ga 3.39-3.42
Pb 0.4819 0.2149 0.6678  4 Bi 3.21-3.49, 2 Ga 3.39-3.42
Pb 0.9819 0.2851 0.6678  4 Bi 3.21-3.49, 2 Ga 3.39-3.42

Results
Its space-group type is No. 14. The calculation puts the theoretical density at 9.2 g cm⁻³. Its density of states at the Fermi level is 0.459 states/eV per atom. As for the formation energy: 0.049 eV/atom.

***

| no. | calculated total energy (eV per atom) |
| --- | --- |
| 1 | -5.4819 |
| 2 | -3.2857 |
| 3 | -3.4212 |
| 4 | -3.5916 |